a.
Here is crystalline Ba2ZrW at its relaxed geometry from Alexandria. Energies are from PBE-GGA.

The space group is C2/m (No. 12) and the conventional cell measures 6.299, 11.522 and 3.142 Å, with angles of 90.00, 90.13 and 90.00 degrees. Symmetry generates all atoms from Ba at (0.250, 0.250, 0.000), Zr at (0.000, 0.000, 0.500) and W at (0.000, 0.500, 0.500).

b.
Here is crystalline Ba2ZrW at its relaxed geometry from Alexandria. Energies are from PBE-GGA.

The space group is Fm-3m (No. 225) and the conventional cell measures 7.716, 7.716 and 7.716 Å, with angles of 90.00, 90.00 and 90.00 degrees. Symmetry generates all atoms from Ba at (0.250, 0.250, 0.250), Zr at (0.000, 0.000, 0.000) and W at (0.000, 0.000, 0.500).

Verdict on stability: b comes out at the bottom.

a.
Here is crystalline Ba2ZrW at its relaxed geometry from Alexandria. Energies are from PBE-GGA.

The space group is Imm2 (No. 44) and the conventional cell measures 3.541, 6.275 and 12.089 Å, with angles of 90.00, 90.00 and 90.00 degrees. Symmetry generates all atoms from Ba at (0.000, 0.000, 0.000), Ba at (0.000, 0.500, 0.195), Zr at (0.000, 0.000, 0.399) and W at (0.000, 0.500, 0.742).

b.
Here is crystalline Ba2ZrW at its relaxed geometry from Alexandria. Energies are from PBE-GGA.

The space group is Immm (No. 71) and the conventional cell measures 3.396, 4.476 and 19.165 Å, with angles of 90.00, 90.00 and 90.00 degrees. Symmetry generates all atoms from Ba at (0.000, 0.000, 0.153), Zr at (0.000, 0.500, 0.000) and W at (0.000, 0.500, 0.500).

Verdict on stability: a comes out at the bottom.

a.
Here is crystalline BaZrW at its relaxed geometry from Alexandria. Energies are from PBE-GGA.

The space group is Fmm2 (No. 42) and the conventional cell measures 3.624, 5.121 and 16.756 Å, with angles of 90.00, 90.00 and 90.00 degrees. Symmetry generates all atoms from Ba at (0.000, 0.000, 0.000), Zr at (0.000, 0.000, 0.712) and W at (0.000, 0.000, 0.331).

b.
Here is crystalline BaZrW at its relaxed geometry from Alexandria. Energies are from PBE-GGA.

The space group is P3m1 (No. 156) and the conventional cell measures 5.1521, 5.1521 and 3.1498 Å, with angles of 90.00, 90.00 and 120.00 degrees. Symmetry generates all atoms from Ba at (0.0000, 0.0000, 0.0000), Zr at (0.3333, 0.6667, 0.6074) and W at (0.6667, 0.3333, 0.3590).

Verdict on stability: b comes out at the bottom.

a.
Here is crystalline BaZrW at its relaxed geometry from Alexandria. Energies are from PBE-GGA.

The space group is P3m1 (No. 156) and the conventional cell measures 3.4398, 3.4398 and 7.8810 Å, with angles of 90.00, 90.00 and 120.00 degrees. Symmetry generates all atoms from Ba at (0.0000, 0.0000, 0.0000), Zr at (0.3333, 0.6667, 0.5746) and W at (0.6667, 0.3333, 0.3388).

b.
Here is crystalline BaZrW at its relaxed geometry from Alexandria. Energies are from PBE-GGA.

The space group is F-43m (No. 216) and the conventional cell measures 6.931, 6.931 and 6.931 Å, with angles of 90.00, 90.00 and 90.00 degrees. Symmetry generates all atoms from Ba at (0.000, 0.000, 0.000), Zr at (0.000, 0.000, 0.500) and W at (0.250, 0.250, 0.250).

c.
Here is crystalline BaZrW at its relaxed geometry from Alexandria. Energies are from PBE-GGA.

The space group is I4mm (No. 107) and the conventional cell measures 3.560, 3.560 and 13.233 Å, with angles of 90.00, 90.00 and 90.00 degrees. Symmetry generates all atoms from Ba at (0.000, 0.000, 0.000), Zr at (0.000, 0.000, 0.273) and W at (0.000, 0.000, 0.683).

Verdict on stability: b comes out at the bottom.

a.
Here is crystalline BaZr3W at its relaxed geometry from Alexandria. Energies are from PBE-GGA.

The space group is Pm-3m (No. 221) and the conventional cell measures 5.290, 5.290 and 5.290 Å, with angles of 90.00, 90.00 and 90.00 degrees. Symmetry generates all atoms from Ba at (0.000, 0.000, 0.000), Zr at (0.000, 0.500, 0.500) and W at (0.500, 0.500, 0.500).

b.
Here is crystalline BaZr3W at its relaxed geometry from Alexandria. Energies are from PBE-GGA.

The space group is Pm-3m (No. 221) and the conventional cell measures 5.159, 5.159 and 5.159 Å, with angles of 90.00, 90.00 and 90.00 degrees. Symmetry generates all atoms from Ba at (0.000, 0.000, 0.000), Zr at (0.000, 0.000, 0.500) and W at (0.500, 0.500, 0.500).

Verdict on stability: b comes out at the bottom.

a.
Here is crystalline Ba3Y at its relaxed geometry from Alexandria. Energies are from PBE-GGA.

The space group is P-6m2 (No. 187) and the conventional cell measures 4.1586, 4.1586 and 13.6758 Å, with angles of 90.00, 90.00 and 120.00 degrees. Symmetry generates all atoms from Ba at (0.0000, 0.0000, 0.0000), Ba at (0.3333, 0.6667, 0.2729) and Y at (0.0000, 0.0000, 0.5000).

b.
Here is crystalline Ba3Y at its relaxed geometry from Alexandria. Energies are from PBE-GGA.

The space group is C2/m (No. 12) and the conventional cell measures 13.836, 4.169 and 7.241 Å, with angles of 90.00, 101.25 and 90.00 degrees. Symmetry generates all atoms from Ba at (0.000, 0.000, 0.000), Ba at (0.239, 0.000, 0.734) and Y at (0.000, 0.500, 0.500).

Verdict on stability: b comes out at the bottom.

a.
Here is crystalline Ba3Y at its relaxed geometry from Alexandria. Energies are from PBE-GGA.

The space group is Cmmm (No. 65) and the conventional cell measures 8.280, 11.885 and 4.128 Å, with angles of 90.00, 90.00 and 90.00 degrees. Symmetry generates all atoms from Ba at (0.000, 0.000, 0.000), Ba at (0.250, 0.250, 0.500) and Y at (0.000, 0.500, 0.000).

b.
Here is crystalline Ba3Y at its relaxed geometry from Alexandria. Energies are from PBE-GGA.

The space group is R-3m (No. 166, hexagonal axes) and the conventional cell measures 4.1699, 4.1699 and 41.0951 Å, with angles of 90.00, 90.00 and 120.00 degrees. Symmetry generates all atoms from Ba at (0.0000, 0.0000, 0.0000), Ba at (0.0000, 0.0000, 0.2417) and Y at (0.0000, 0.0000, 0.5000).

c.
Here is crystalline Ba3Y at its relaxed geometry from Alexandria. Energies are from PBE-GGA.

The space group is Imm2 (No. 44) and the conventional cell measures 4.553, 13.483 and 6.758 Å, with angles of 90.00, 90.00 and 90.00 degrees. Symmetry generates all atoms from Ba at (0.000, 0.000, 0.000), Ba at (0.000, 0.232, 0.499) and Y at (0.000, 0.500, 0.000).

Verdict on stability: a comes out at the bottom.

a.
Here is crystalline Ba3Y at its relaxed geometry from Alexandria. Energies are from PBE-GGA.

The space group is Fm-3m (No. 225) and the conventional cell measures 9.372, 9.372 and 9.372 Å, with angles of 90.00, 90.00 and 90.00 degrees. Symmetry generates all atoms from Ba at (0.000, 0.000, 0.000), Ba at (0.250, 0.250, 0.250) and Y at (0.000, 0.000, 0.500).

b.
Here is crystalline Ba3Y at its relaxed geometry from Alexandria. Energies are from PBE-GGA.

The space group is P4/mmm (No. 123) and the conventional cell measures 4.488, 4.488 and 10.532 Å, with angles of 90.00, 90.00 and 90.00 degrees. Symmetry generates all atoms from Ba at (0.000, 0.000, 0.000), Ba at (0.500, 0.500, 0.289) and Y at (0.000, 0.000, 0.500).

Verdict on stability: a comes out at the bottom.

a.
Here is crystalline BaY5 at its relaxed geometry from Alexandria. Energies are from PBE-GGA.

The space group is Amm2 (No. 38) and the conventional cell measures 5.867, 3.686 and 19.677 Å, with angles of 90.00, 90.00 and 90.00 degrees. Symmetry generates all atoms from Ba at (0.000, 0.000, 0.000), Y at (0.000, 0.000, 0.327), Y at (0.000, 0.000, 0.674), Y at (0.500, 0.000, 0.227), Y at (0.500, 0.000, 0.567) and Y at (0.500, 0.000, 0.886).

b.
Here is crystalline BaY5 at its relaxed geometry from Alexandria. Energies are from PBE-GGA.

The space group is Cmmm (No. 65) and the conventional cell measures 5.223, 15.621 and 5.200 Å, with angles of 90.00, 90.00 and 90.00 degrees. Symmetry generates all atoms from Ba at (0.000, 0.000, 0.000), Y at (0.000, 0.175, 0.500), Y at (0.000, 0.326, 0.000) and Y at (0.000, 0.500, 0.500).

c.
Here is crystalline BaY5 at its relaxed geometry from Alexandria. Energies are from PBE-GGA.

The space group is P-62m (No. 189) and the conventional cell measures 6.4535, 6.4535 and 5.8793 Å, with angles of 90.00, 90.00 and 120.00 degrees. Symmetry generates all atoms from Ba at (0.0000, 0.0000, 0.0000), Y at (0.0000, 0.6504, 0.5000) and Y at (0.3333, 0.6667, 0.0000).

Verdict on stability: b comes out at the bottom.

a.
Here is crystalline BaY5 at its relaxed geometry from Alexandria. Energies are from PBE-GGA.

The space group is F-43m (No. 216) and the conventional cell measures 9.674, 9.674 and 9.674 Å, with angles of 90.00, 90.00 and 90.00 degrees. Symmetry generates all atoms from Ba at (0.000, 0.000, 0.000), Y at (0.122, 0.122, 0.378) and Y at (0.250, 0.250, 0.750).

b.
Here is crystalline BaY5 at its relaxed geometry from Alexandria. Energies are from PBE-GGA.

The space group is Cm (No. 8) and the conventional cell measures 13.487, 3.716 and 8.740 Å, with angles of 90.00, 103.68 and 90.00 degrees. Symmetry generates all atoms from Ba at (0.000, 0.000, 0.000), Y at (0.056, 0.000, 0.601), Y at (0.171, 0.500, 0.342), Y at (0.226, 0.500, 0.932), Y at (0.325, 0.000, 0.652) and Y at (0.380, 0.000, 0.289).

Verdict on stability: a comes out at the bottom.

a.
Here is crystalline Ba4Y5 at its relaxed geometry from Alexandria. Energies are from PBE-GGA.

The space group is P6_3/mcm (No. 193) and the conventional cell measures 10.7262, 10.7262 and 7.3872 Å, with angles of 90.00, 90.00 and 120.00 degrees. Symmetry generates all atoms from Ba at (0.0000, 0.0000, 0.0000), Ba at (0.0000, 0.3084, 0.2500), Y at (0.0000, 0.3761, 0.7500) and Y at (0.3333, 0.6667, 0.0000).

b.
Here is crystalline Ba4Y5 at its relaxed geometry from Alexandria. Energies are from PBE-GGA.

The space group is I4/mmm (No. 139) and the conventional cell measures 11.646, 11.646 and 5.593 Å, with angles of 90.00, 90.00 and 90.00 degrees. Symmetry generates all atoms from Ba at (0.000, 0.319, 0.000), Y at (0.000, 0.000, 0.000) and Y at (0.154, 0.154, 0.500).

Verdict on stability: a comes out at the bottom.

a.
Here is crystalline Ba4Y at its relaxed geometry from Alexandria. Energies are from PBE-GGA.

The space group is Pm-3m (No. 221) and the conventional cell measures 6.741, 6.741 and 6.741 Å, with angles of 90.00, 90.00 and 90.00 degrees. Symmetry generates all atoms from Ba at (0.000, 0.000, 0.000), Ba at (0.000, 0.500, 0.500) and Y at (0.500, 0.500, 0.500).

b.
Here is crystalline Ba4Y at its relaxed geometry from Alexandria. Energies are from PBE-GGA.

The space group is Im-3m (No. 229) and the conventional cell measures 8.666, 8.666 and 8.666 Å, with angles of 90.00, 90.00 and 90.00 degrees. Symmetry generates all atoms from Ba at (0.250, 0.250, 0.250) and Y at (0.000, 0.000, 0.000).

c.
Here is crystalline Ba4Y at its relaxed geometry from Alexandria. Energies are from PBE-GGA.

The space group is I4/mmm (No. 139) and the conventional cell measures 7.169, 7.169 and 10.305 Å, with angles of 90.00, 90.00 and 90.00 degrees. Symmetry generates all atoms from Ba at (0.000, 0.000, 0.160), Ba at (0.000, 0.500, 0.250) and Y at (0.000, 0.000, 0.500).

Verdict on stability: c comes out at the bottom.